First-principles (meta-GGA SCAN) data for a crystal of La3ReRh relaxed with PBEsol, as listed in Alexandria.

abc: 5.278 5.278 5.278
angles: 90.00 90.00 90.00
Space group Pm-3m (No. 221)
Inequivalent atoms, fractional coordinates:
La 0.000 0.000 0.500
Re 0.500 0.500 0.500
Rh 0.000 0.000 0.000

Results
ρ ... 7.974 g/cm³
Formation energy from the elements ... 522 meV/atom
Total moment ... 1.5 μB/cell